# 1
A plane-wave DFT calculation with GGA-PBE was carried out for an optimized crystal structure of LiScO2.

Unit cell a=3.1106 b=3.1106 c=10.2399 alpha=90.00 beta=90.00 gamma=120.00
Atoms (fractional coordinates):
Li 0.3333 0.6667 0.2500
Li 0.6667 0.3333 0.7500
Sc 0.0000 0.0000 0.0000
Sc 0.0000 0.0000 0.5000
O 0.3333 0.6667 0.6109
O 0.3333 0.6667 0.8891
O 0.6667 0.3333 0.1109
O 0.6667 0.3333 0.3891

Values from the calculation:
E_form (uncorrected)   -11.7 eV/f.u.
SG   P6_3/mmc (194)

# 2
A plane-wave DFT calculation with GGA-PBE was carried out for an optimized crystal structure of Pu3Bi5Se12.

Unit cell a=14.9004 b=14.9004 c=14.9004 alpha=109.47 beta=109.47 gamma=109.47
Atoms (fractional coordinates):
Pu 0.1250 0.2500 0.3750
Pu 0.1250 0.3750 0.7500
Pu 0.2500 0.3750 0.1250
Pu 0.2500 0.8750 0.6250
Pu 0.3750 0.1250 0.2500
Pu 0.3750 0.7500 0.1250
Pu 0.6250 0.2500 0.8750
Pu 0.6250 0.8750 0.7500
Pu 0.7500 0.1250 0.3750
Pu 0.7500 0.6250 0.8750
Pu 0.8750 0.6250 0.2500
Pu 0.8750 0.7500 0.6250
Bi 0.0000 0.0000 0.0000
Bi 0.0000 0.0000 0.5000
Bi 0.0000 0.5000 0.0000
Bi 0.0000 0.5000 0.5000
Bi 0.1250 0.7500 0.8750
Bi 0.1250 0.8750 0.2500
Bi 0.2500 0.1250 0.8750
Bi 0.2500 0.6250 0.3750
Bi 0.3750 0.2500 0.6250
Bi 0.3750 0.6250 0.7500
Bi 0.5000 0.0000 0.0000
Bi 0.5000 0.0000 0.5000
Bi 0.5000 0.5000 0.0000
Bi 0.5000 0.5000 0.5000
Bi 0.6250 0.3750 0.2500
Bi 0.6250 0.7500 0.3750
Bi 0.7500 0.3750 0.6250
Bi 0.7500 0.8750 0.1250
Bi 0.8750 0.1250 0.7500
Bi 0.8750 0.2500 0.1250
Se 0.0565 0.2252 0.1399
Se 0.0565 0.3313 0.9166
Se 0.0834 0.6399 0.4147
Se 0.0834 0.9435 0.6687
Se 0.0853 0.7252 0.6687
Se 0.0853 0.8601 0.4166
Se 0.1399 0.0565 0.2252
Se 0.1399 0.5834 0.9147
Se 0.1687 0.2252 0.5853
Se 0.1687 0.4435 0.5834
Se 0.2252 0.1399 0.0565
Se 0.2252 0.5853 0.1687
Se 0.2748 0.3313 0.9147
Se 0.2748 0.4435 0.3601
Se 0.3313 0.9147 0.2748
Se 0.3313 0.9166 0.0565
Se 0.3601 0.2748 0.4435
Se 0.3601 0.5853 0.9166
Se 0.4147 0.0834 0.6399
Se 0.4147 0.8313 0.7748
Se 0.4166 0.0853 0.8601
Se 0.4166 0.8313 0.5565
Se 0.4435 0.3601 0.2748
Se 0.4435 0.5834 0.1687
Se 0.5565 0.4166 0.8313
Se 0.5565 0.6399 0.7252
Se 0.5834 0.1687 0.4435
Se 0.5834 0.9147 0.1399
Se 0.5853 0.1687 0.2252
Se 0.5853 0.9166 0.3601
Se 0.6399 0.4147 0.0834
Se 0.6399 0.7252 0.5565
Se 0.6687 0.0834 0.9435
Se 0.6687 0.0853 0.7252
Se 0.7252 0.5565 0.6399
Se 0.7252 0.6687 0.0853
Se 0.7748 0.4147 0.8313
Se 0.7748 0.8601 0.9435
Se 0.8313 0.5565 0.4166
Se 0.8313 0.7748 0.4147
Se 0.8601 0.4166 0.0853
Se 0.8601 0.9435 0.7748
Se 0.9147 0.1399 0.5834
Se 0.9147 0.2748 0.3313
Se 0.9166 0.0565 0.3313
Se 0.9166 0.3601 0.5853
Se 0.9435 0.6687 0.0834
Se 0.9435 0.7748 0.8601

Values from the calculation:
E_form (uncorrected)   -12.4 eV/f.u.
SG   Ia-3d (230)

Which formula does entry 2 have?
Pu3Bi5Se12

Which of these has the lowest E_form (uncorrected)?
Pu3Bi5Se12

Among the records above, which one has the lowest E_form (uncorrected)?
Pu3Bi5Se12